Record 1
Zr2Au (PBE-GGA, optimized geometry); magnetization = 0.00 μB per cell; final energy = -42.28 eV/cell; formation energy = -0.256 eV/atom; DOS(E_F) = 7.131 states/eV per cell
1.0
6.1416 -1.6357 0.0000
6.1416 1.6357 0.0000
-1.9044 0.0000 6.3539
Zr Au
4 2
Direct
0.0000 0.0000 0.0000
0.0237 0.0237 0.5345
0.3255 0.3255 0.6835
0.6893 0.6893 0.3130
0.3700 0.3700 0.2200
0.6807 0.6807 0.8606

---

Record 2
ZrAu (PBE-GGA, optimized geometry); magnetization = 0.00 μB per cell; final energy = -49.22 eV/cell; formation energy = -0.240 eV/atom; DOS(E_F) = 7.718 states/eV per cell
1.0
5.5613 0.0000 0.0000
0.0000 5.5613 0.0000
0.0000 0.0000 5.7154
Zr Au
4 4
Direct
0.2007 0.2007 0.0000
0.2993 0.7007 0.5000
0.7007 0.2993 0.5000
0.7993 0.7993 0.0000
0.1910 0.1910 0.5000
0.3090 0.6910 0.0000
0.6910 0.3090 0.0000
0.8090 0.8090 0.5000

---

Record 3
ZrAu2 (PBE-GGA, optimized geometry); magnetization = 0.00 μB per cell; final energy = -33.06 eV/cell; formation energy = -0.476 eV/atom; DOS(E_F) = 5.543 states/eV per cell
1.0
4.8075 0.0000 0.0000
-2.4037 4.1634 0.0000
0.0000 0.0000 5.8270
Zr Au
2 4
Direct
0.3333 0.6667 0.2500
0.6667 0.3333 0.7500
0.0000 0.0000 0.0000
0.0000 0.0000 0.5000
0.3333 0.6667 0.7500
0.6667 0.3333 0.2500

---

Record 4
ZrAu2 (PBE-GGA, optimized geometry); magnetization = 0.00 μB per cell; final energy = -32.68 eV/cell; formation energy = -0.412 eV/atom; DOS(E_F) = 3.096 states/eV per cell
1.0
5.9510 -1.7252 0.0000
5.9510 1.7252 0.0000
-1.7739 0.0000 5.7979
Zr Au
2 4
Direct
0.1557 0.1557 0.0918
0.8443 0.8443 0.9082
0.1786 0.1786 0.6082
0.4974 0.4974 0.2603
0.5026 0.5026 0.7397
0.8214 0.8214 0.3918